The following is a DFT calculation (PBE) of crystalline LiLaMg2Zn4 at its relaxed geometry.

The value obtained for the density of states at the Fermi level is 12.918 states/eV/cell. Its formation energy from the elements is -4.47 kcal/mol of atoms.

CIF file:
```
data_LiLaMg2Zn4
_cell_length_a 4.6225
_cell_length_b 4.6225
_cell_length_c 25.9415
_cell_angle_alpha 90.00
_cell_angle_beta 90.00
_cell_angle_gamma 120.00
_symmetry_space_group_name_H-M 'R -3 m'
_symmetry_Int_Tables_number 166
_symmetry_space_group_name_Hall '-R 3 2"'
loop_
_atom_site_label
_atom_site_type_symbol
_atom_site_fract_x
_atom_site_fract_y
_atom_site_fract_z
Li1 Li 0.0000 0.0000 0.0000
La1 La 0.0000 0.0000 0.5000
Mg1 Mg 0.0000 0.0000 0.2599
Zn1 Zn 0.0000 0.0000 0.1034
Zn2 Zn 0.0000 0.0000 0.3700
```

---

The following is a DFT calculation (PBE) of crystalline LiLa2Mn at its relaxed geometry.

The value obtained for the density of states at the Fermi level is 8.385 states/eV/cell. Its formation energy from the elements is 7.17 kcal/mol of atoms.

CIF file:
```
data_LiLa2Mn
_cell_length_a 7.1643
_cell_length_b 3.4221
_cell_length_c 9.3878
_cell_angle_alpha 90.00
_cell_angle_beta 95.72
_cell_angle_gamma 90.00
_symmetry_space_group_name_H-M 'C 1 2/m 1'
_symmetry_Int_Tables_number 12
loop_
_symmetry_equiv_pos_as_xyz
'x,y,z'
'-x,-y,-z'
'-x,y,-z'
'x,-y,z'
'x+1/2,y+1/2,z'
'-x+1/2,-y+1/2,-z'
'-x+1/2,y+1/2,-z'
'x+1/2,-y+1/2,z'
loop_
_atom_site_label
_atom_site_type_symbol
_atom_site_fract_x
_atom_site_fract_y
_atom_site_fract_z
Li1 Li 0.0000 0.0000 0.0000
La1 La 0.2475 0.0000 0.7043
Mn1 Mn 0.0000 0.5000 0.5000
```

---

The following is a DFT calculation (PBE) of crystalline LiLa3Mn at its relaxed geometry.

The value obtained for the density of states at the Fermi level is 5.013 states/eV/cell. Its formation energy from the elements is 3.79 kcal/mol of atoms.

CIF file:
```
data_LiLa3Mn
_cell_length_a 5.3657
_cell_length_b 5.3657
_cell_length_c 5.3657
_cell_angle_alpha 90.00
_cell_angle_beta 90.00
_cell_angle_gamma 90.00
_symmetry_space_group_name_H-M 'P m -3 m'
_symmetry_Int_Tables_number 221
_symmetry_space_group_name_Hall '-P 4 2 3'
loop_
_atom_site_label
_atom_site_type_symbol
_atom_site_fract_x
_atom_site_fract_y
_atom_site_fract_z
Li1 Li 0.0000 0.0000 0.0000
La1 La 0.0000 0.5000 0.5000
Mn1 Mn 0.5000 0.5000 0.5000
```